# Al2SiIr

A relaxed Al2SiIr crystal (PBE, Alexandria via LeMat-Bulk).

Excess energy over the best structure of this formula in the dataset   222.8 meV/atom
Crystal system   tetragonal
Calculated density   8.03 g/cm3
Symmetry   P4/mmm (123)

```
Al2SiIr
1.0
3.897 0.000 0.000
0.000 3.897 0.000
0.000 0.000 3.736
Al Si Ir
2 1 1
direct
0.000 0.500 0.000 Al
0.500 0.000 0.000 Al
0.000 0.000 0.500 Si
0.500 0.500 0.500 Ir
```

***

# Al3SiIr3

A relaxed Al3SiIr3 crystal (PBE, Alexandria via LeMat-Bulk).

Crystal system   trigonal
Calculated density   10.84 g/cm3
Symmetry   R-3m (166)

```
Al3SiIr3
1.0
4.171 2.408 1.742
-4.171 2.408 1.742
0.000 -4.817 1.742
Al Si Ir
3 1 3
direct
0.000 0.500 0.500 Al
0.500 0.000 0.500 Al
0.500 0.500 0.000 Al
0.000 0.000 0.000 Si
0.000 0.000 0.500 Ir
0.000 0.500 0.000 Ir
0.500 0.000 0.000 Ir
```

***

# Al2SiIr

A relaxed Al2SiIr crystal (PBE, Alexandria via LeMat-Bulk).

Excess energy over the best structure of this formula in the dataset   302.2 meV/atom
Crystal system   cubic
Calculated density   7.90 g/cm3
Symmetry   F-43m (216)

```
Al2SiIr
1.0
0.000 3.066 3.066
3.066 0.000 3.066
3.066 3.066 0.000
Al Si Ir
2 1 1
direct
0.000 0.000 0.000 Al
0.250 0.250 0.250 Al
0.500 0.500 0.500 Si
0.750 0.750 0.750 Ir
```

***

# AlSiIr2

A relaxed AlSiIr2 crystal (PBE, Alexandria via LeMat-Bulk).

Crystal system   orthorhombic
Calculated density   13.28 g/cm3
Symmetry   Immm (71)

```
AlSiIr2
1.0
-1.945 2.054 3.438
1.945 -2.054 3.438
1.945 2.054 -3.438
Al Si Ir
1 1 2
direct
0.000 0.000 0.000 Al
0.500 0.500 0.000 Si
0.274 0.774 0.500 Ir
0.726 0.226 0.500 Ir
```

***

The records above yield energy relative to the elements, uncorrected values of -0.25, -0.67, -0.17, -0.65 eV per atom, respectively.
The records above yield M_tot values of 0.00, 0.00, 0.00, 0.00 μB per atom, respectively.
The records above yield DFT total energy values of -22.8, -47.9, -22.4, -29.5 eV for the cell shown, respectively.